First-principles (PBE) data for a relaxed CoAg3 crystal, as listed in Alexandria.

abc: 9.4431 2.7761 5.0413
angles: 90.00 100.03 90.00
Space group C2/m (No. 12)
Inequivalent atoms, fractional coordinates:
Co 0.0000 0.0000 0.0000 (multiplicity 2)
Ag 0.0000 0.5000 0.5000 (multiplicity 2)
Ag 0.2430 0.5000 0.2407 (multiplicity 4)

Summary:
Formation energy from the elements ... 0.339 eV per atom
DOS(E_F) ... 9.30 states/eV per cell
V ... 16.27 Å³ per atom
Total energy ... -28.61 eV per cell
Total magnetic moment ... 1.689 μB/f.u.